! GGA-PBE ZrTcAg, optimized geometry; values from VASP
! Excess energy over the best structure of this formula in the dataset in meV/atom: 58
! DOS at the Fermi energy in states/eV/f.u.: 2.007
! E_tot in eV/f.u.: -21.51
! Energy relative to the elements in eV/atom: 0.084
! Volume in Å³/atom: 18.9
&SYSTEM
  ibrav = 0, nat = 6, ntyp = 3
/
ATOMIC_SPECIES
Zr 91.22 Zr.upf
Tc 98.00 Tc.upf
Ag 107.87 Ag.upf
ATOMIC_POSITIONS angstrom
Zr 1.259 1.203 0.000
Zr 1.259 2.147 3.370
Tc 0.000 0.000 2.117
Tc 2.517 0.000 2.117
Ag 1.259 -0.893 4.613
Ag 1.259 4.243 1.244
CELL_PARAMETERS angstrom
-2.517 3.350 3.370
2.517 -3.350 3.370
2.517 3.350 -3.370